Entry 1:
Material: NaFeAgI5
Method: DFT, PBE
State: optimized geometry

abc: 8.2690 8.2690 10.1904
angles: 103.69 103.69 98.95
With the nearest neighbours (Å) after each atom.
Atoms (fractional coordinates):
Na: 0.1601 0.8399 0.7500  3 I 3.12-3.27
Na: 0.8399 0.1601 0.2500  3 I 3.12-3.27
Fe: 0.1576 0.8424 0.2500  4 I 2.55-2.57
Fe: 0.8424 0.1576 0.7500  4 I 2.55-2.57
Ag: 0.5000 0.5000 0.0000  2 I 2.80
Ag: 0.5000 0.5000 0.5000  2 I 2.80
I: 0.1301 0.2087 0.9357  1 Fe 2.57
I: 0.1524 0.6030 0.3689  1 Fe 2.55
I: 0.2087 0.1301 0.4357  1 Fe 2.57
I: 0.3970 0.8476 0.1311  1 Fe 2.55
I: 0.4084 0.5916 0.7500  2 Ag 2.80, 1 Na 3.12
I: 0.5916 0.4084 0.2500  2 Ag 2.80, 1 Na 3.12
I: 0.6030 0.1524 0.8689  1 Fe 2.55
I: 0.7913 0.8699 0.5643  1 Fe 2.57
I: 0.8476 0.3970 0.6311  1 Fe 2.55
I: 0.8699 0.7913 0.0643  1 Fe 2.57

## Properties
As for the density of states at the Fermi level: 0.063 states/eV/atom. For the uncorrected formation energy, the calculation gives -0.419 eV/atom.

---

Entry 2:
Material: La2Pm12Y5
Method: DFT, PBE
State: optimized geometry

abc: 9.2371 9.2371 8.8429
angles: 92.06 92.06 60.59
With the nearest neighbours (Å) after each atom.
Atoms (fractional coordinates):
La: 0.1690 0.8310 0.0000  1 La 3.15, 4 Pm 3.43-3.48
La: 0.8310 0.1690 0.0000  1 La 3.15, 4 Pm 3.43-3.48
Pm: 0.0598 0.0598 0.3465  2 Y 3.37-3.73, 7 Pm 3.38-3.62, 2 La 3.54
Pm: 0.0657 0.6723 0.3198  4 Y 3.43-3.82, 5 Pm 3.47-3.67, 1 La 3.59
Pm: 0.1703 0.5305 0.7590  3 Pm 3.36-3.54, 1 La 3.43, 2 Y 3.54-3.65
Pm: 0.3277 0.9343 0.6802  4 Y 3.43-3.82, 5 Pm 3.47-3.67, 1 La 3.59
Pm: 0.4260 0.4260 0.1203  3 Pm 3.24-3.47, 2 Y 3.48-3.51, 2 La 3.48
Pm: 0.4695 0.8297 0.2410  3 Pm 3.36-3.54, 1 La 3.43, 2 Y 3.54-3.65
Pm: 0.5305 0.1703 0.7590  3 Pm 3.36-3.54, 1 La 3.43, 2 Y 3.54-3.65
Pm: 0.5740 0.5740 0.8797  3 Pm 3.24-3.47, 2 Y 3.48-3.51, 2 La 3.48
Pm: 0.6723 0.0657 0.3198  4 Y 3.43-3.82, 5 Pm 3.47-3.67, 1 La 3.59
Pm: 0.8297 0.4695 0.2410  3 Pm 3.36-3.54, 1 La 3.43, 2 Y 3.54-3.65
Pm: 0.9343 0.3277 0.6802  4 Y 3.43-3.82, 5 Pm 3.47-3.67, 1 La 3.59
Pm: 0.9402 0.9402 0.6535  2 Y 3.37-3.73, 7 Pm 3.38-3.62, 2 La 3.54
Y: 0.2107 0.2107 0.0354  8 Pm 3.48-3.81, 1 Y 3.59, 2 La 3.71
Y: 0.2674 0.2674 0.4331  7 Pm 3.37-3.64, 2 Y 3.59-3.73
Y: 0.5000 0.5000 0.5000  10 Pm 3.51-3.82, 2 Y 3.73
Y: 0.7326 0.7326 0.5669  7 Pm 3.37-3.64, 2 Y 3.59-3.73
Y: 0.7893 0.7893 0.9646  8 Pm 3.48-3.81, 1 Y 3.59, 2 La 3.71

## Properties
As for the density of states at the Fermi level: 1.426 states/eV/atom. The offset from the most stable computed form is 9.4 kJ/mol of formula units.

---

Entry 3:
Material: CaTmMg2Au4
Method: DFT, PBE
State: optimized geometry

abc: 8.4978 8.4978 8.4978
angles: 33.53 33.53 33.53
With the nearest neighbours (Å) after each atom.
Atoms (fractional coordinates):
Ca: 0.0000 0.0000 0.0000  8 Au 3.03-3.09
Tm: 0.5000 0.5000 0.5000  8 Au 2.92-2.98
Mg: 0.2506 0.2506 0.2506  8 Au 2.94-3.07
Mg: 0.7494 0.7494 0.7494  8 Au 2.94-3.07
Au: 0.1285 0.1285 0.1285  4 Mg 2.94-3.04, 3 Tm 2.98, 1 Ca 3.09
Au: 0.3784 0.3784 0.3784  1 Tm 2.92, 4 Mg 2.97-3.07, 3 Ca 3.03
Au: 0.6216 0.6216 0.6216  1 Tm 2.92, 4 Mg 2.97-3.07, 3 Ca 3.03
Au: 0.8715 0.8715 0.8715  4 Mg 2.94-3.04, 3 Tm 2.98, 1 Ca 3.09

## Properties
As for the density of states at the Fermi level: 0.608 states/eV/atom. The electronic total energy is -3.58 eV/atom.

---

Entry 4:
Material: TaMnNiOs
Method: DFT, PBE
State: optimized geometry

abc: 4.3458 4.3458 4.3458
angles: 60.00 60.00 60.00
With the nearest neighbours (Å) after each atom.
Atoms (fractional coordinates):
Ta: 0.0000 0.0000 0.0000  4 Ni 2.66, 4 Os 2.66
Mn: 0.5000 0.5000 0.5000  4 Ni 2.66, 4 Os 2.66
Ni: 0.7500 0.7500 0.7500  4 Ta 2.66, 4 Mn 2.66
Os: 0.2500 0.2500 0.2500  4 Ta 2.66, 4 Mn 2.66

## Properties
As for the density of states at the Fermi level: 0.540 states/eV/atom. The electronic total energy is -9.61 eV/atom.

---

Entry 5:
Material: TePRuN2
Method: DFT, PBE
State: optimized geometry

abc: 3.5072 3.5072 8.0642
angles: 90.00 90.00 90.00
With the nearest neighbours (Å) after each atom.
Atoms (fractional coordinates):
Te: 0.0000 0.0000 0.0000  4 Ru 2.48
P: 0.0000 0.0000 0.5000  4 N 1.75
Ru: 0.5000 0.5000 0.0000  4 Te 2.48
N: 0.0000 0.5000 0.5000  2 P 1.75
N: 0.5000 0.0000 0.5000  2 P 1.75

## Properties
As for the density of states at the Fermi level: 0.903 states/eV/atom. The offset from the most stable computed form is 149.5 kJ/mol of formula units. For the uncorrected formation energy, the calculation gives 1.278 eV/atom.

---

Entry 6:
Material: SrCaNi
Method: DFT, PBE
State: optimized geometry

abc: 5.3606 5.3606 7.3174
angles: 107.79 107.79 77.77
With the nearest neighbours (Å) after each atom.
Atoms (fractional coordinates):
Sr: 0.1581 0.1581 0.4048  2 Ni 2.90-2.92
Sr: 0.8419 0.8419 0.5952  2 Ni 2.90-2.92
Ca: 0.0000 0.5000 0.0000  2 Ni 2.93
Ca: 0.5000 0.0000 0.0000  2 Ni 2.93
Ni: 0.4742 0.4742 0.3288  1 Ni 2.37
Ni: 0.5258 0.5258 0.6712  1 Ni 2.37

## Properties
As for the density of states at the Fermi level: 0.895 states/eV/atom. The offset from the most stable computed form is 86.2 kJ/mol of formula units.

---

Entry 7:
Material: SrMg3V
Method: DFT, PBE
State: optimized geometry

abc: 6.0652 6.0652 6.0652
angles: 90.00 90.00 90.00
With the nearest neighbours (Å) after each atom.
Atoms (fractional coordinates):
Sr: 0.0000 0.0000 0.0000  6 Mg 3.03
Mg: 0.0000 0.0000 0.5000  2 Sr 3.03
Mg: 0.0000 0.5000 0.0000  2 Sr 3.03
Mg: 0.5000 0.0000 0.0000  2 Sr 3.03
V: 0.5000 0.5000 0.5000  12 Mg 4.29

## Properties
As for the density of states at the Fermi level: 2.436 states/eV/atom. The offset from the most stable computed form is 559.1 kJ/mol of formula units.

---

Entry 8:
Material: Nd3B7Os
Method: DFT, PBE
State: optimized geometry

abc: 8.3545 8.3545 9.6054
angles: 90.00 90.00 155.04
With the nearest neighbours (Å) after each atom.
Atoms (fractional coordinates):
Nd: 0.1044 0.8956 0.5617  11 B 2.72-2.84
Nd: 0.1044 0.8956 0.9383  11 B 2.72-2.84
Nd: 0.2451 0.7549 0.2500  10 B 2.74-2.78, 1 Os 3.07
Nd: 0.7549 0.2451 0.7500  10 B 2.74-2.78, 1 Os 3.07
Nd: 0.8956 0.1044 0.0617  11 B 2.72-2.84
Nd: 0.8956 0.1044 0.4383  11 B 2.72-2.84
B: 0.2736 0.7264 0.5327  3 B 1.92-2.06
B: 0.2736 0.7264 0.9673  3 B 1.92-2.06
B: 0.3680 0.6320 0.6530  3 B 1.82-1.92
B: 0.3680 0.6320 0.8470  3 B 1.82-1.92
B: 0.4646 0.5354 0.2500  2 B 1.73
B: 0.4755 0.5245 0.6013  2 B 1.73-1.82
B: 0.4755 0.5245 0.8987  2 B 1.73-1.82
B: 0.5245 0.4755 0.1013  2 B 1.73-1.82
B: 0.5245 0.4755 0.3987  2 B 1.73-1.82
B: 0.5354 0.4646 0.7500  2 B 1.73
B: 0.6320 0.3680 0.1530  3 B 1.82-1.92
B: 0.6320 0.3680 0.3470  3 B 1.82-1.92
B: 0.7264 0.2736 0.0327  3 B 1.92-2.06
B: 0.7264 0.2736 0.4673  3 B 1.92-2.06
Os: 0.0571 0.9429 0.2500  10 B 2.35-2.37
Os: 0.9429 0.0571 0.7500  10 B 2.35-2.37

## Properties
As for the density of states at the Fermi level: 0.159 states/eV/atom. The electronic total energy is -7.00 eV/atom.